! Zr4Sn3 | OQMD via LeMat-Bulk | PBE-GGA | relaxed; values from VASP
! density = 7.30 Mg/m³
! DFT total energy = -6.810 eV/atom
! total magnetic moment = 0.22 μB per cell
! space-group type = P6_3/m, No. 176
&SYSTEM
  ibrav = 0, nat = 14, ntyp = 2
/
ATOMIC_SPECIES
Zr 91.22 Zr.upf
Sn 118.71 Sn.upf
CELL_PARAMETERS angstrom
-0.729 -5.238 -6.373
3.843 1.622 -7.154
4.449 -2.765 1.763
ATOMIC_POSITIONS crystal
Zr 0.932 0.259 0.500
Zr 0.021 0.979 0.000
Zr 0.143 0.286 0.000
Zr 0.116 0.524 0.500
Zr 0.381 0.074 0.500
Zr 0.810 0.952 0.500
Zr 0.571 0.164 0.000
Zr 0.836 0.714 0.000
Sn 0.426 0.879 0.000
Sn 0.687 0.669 0.500
Sn 0.266 0.569 0.000
Sn 0.526 0.359 0.500
Sn 0.216 0.829 0.500
Sn 0.736 0.409 0.000